{"formula": "TlTcRh2", "functional": "PBE-GGA", "state": "optimized geometry", "lattice_angstrom": [[7.228, 0.000, 0.000], [0.000, 7.228, 0.000], [3.614, 3.614, 2.793]], "species": ["Tl", "Tl", "Rh", "Rh", "Rh", "Rh", "Tc", "Tc"], "frac_coords": [[0.000, 0.000, 0.000], [0.750, 0.250, 0.500], [0.583, 0.125, 0.250], [0.167, 0.625, 0.250], [0.375, 0.417, 0.750], [0.875, 0.833, 0.750], [0.500, 0.500, 0.000], [0.250, 0.750, 0.500]], "dos_ef_per_ev_atom": 0.97, "delta_e_f_kcal_per_mol_atoms": 13.97, "relative_energy_kj_per_mol_atoms": 49.7, "spacegroup": "No. 122"}